NdMgSc2Cu4 PBE-GGA relaxed; calculated total energy = -4.599 eV/atom; symmetry = R-3m, No. 166
1.0
-3.562 2.900 -0.015
-2.504 0.543 -3.813
-6.989 -4.943 1.119
Mg Sc Cu Nd
1 2 4 1
Cartesian
-6.528 -0.750 -1.354 Mg
-3.432 -0.581 -0.596 Sc
-9.624 -0.919 -2.112 Sc
-4.970 1.160 -2.105 Cu
-7.883 1.215 -2.951 Cu
-8.085 -2.660 -0.603 Cu
-5.172 -2.715 0.243 Cu
0.000 0.000 0.000 Nd